Compound: TaOs2Se
Source: Alexandria
Functional: GGA-PBE
Structure: relaxed

Properties
- uncorrected energy (eV/atom) = -8.65
- total magnetic moment (Bohr magnetons per cell) = 0.00
- crystal system = tetragonal

Cell: 5.5859 5.5859 11.5296 Å, 90.00 90.00 90.00°
Last column: nearest neighbours and their distance in Å.
Space group I-42d (No. 122)
One atom of each set of equivalent atoms:
Ta 0.0000 0.0000 0.0000  4 Os 2.52
Os 0.2283 0.2500 0.6250  2 Se 2.38, 2 Ta 2.52
Se 0.0000 0.0000 0.5000  4 Os 2.38